[1]
The following is a PBE calculation of a relaxed structure of TiSn3Te, from the Alexandria database.

```
TiSn3Te
1.0
5.671 0.000 0.000
0.000 5.671 0.000
0.000 0.000 5.671
Ti Sn Te
1 3 1
Direct
0.000 0.000 0.000
0.000 0.500 0.500
0.500 0.000 0.500
0.500 0.500 0.000
0.500 0.500 0.500
```

Values from the calculation:
Theoretical density: 4.84 Mg/m³
Calculated total energy: -3.4553 eV/atom
Symmetry: Pm-3m, No. 221
Uncorrected formation energy: 5.77 eV per formula unit
Magnetization: 0.00 μB per atom
Polymorph energy (0 for the lowest one): 4.48 eV/f.u.
DOS at the Fermi energy: 2.4723 states/eV per atom

***

[2]
The following is a PBE calculation of a relaxed structure of EuHoLuMg, from the Alexandria database.

```
EuHoLuMg
1.0
7.854 0.000 0.000
0.000 7.854 0.000
0.000 0.000 7.854
Eu Ho Lu Mg
4 4 4 4
Direct
0.000 0.000 0.000
0.000 0.500 0.500
0.500 0.000 0.500
0.500 0.500 0.000
0.000 0.000 0.500
0.000 0.500 0.000
0.500 0.000 0.000
0.500 0.500 0.500
0.250 0.250 0.250
0.250 0.750 0.750
0.750 0.250 0.750
0.750 0.750 0.250
0.250 0.250 0.750
0.250 0.750 0.250
0.750 0.250 0.250
0.750 0.750 0.750
```

Values from the calculation:
Theoretical density: 7.08 Mg/m³
Calculated total energy: -5.1734 eV/atom
Symmetry: F-43m, No. 216
Formation enthalpy at 0 K: 0.3 eV/f.u.
Magnetization: 1.79 μB per atom
DOS at the Fermi energy: 0.7414 states/eV per atom

***

[3]
The following is a PBE calculation of a relaxed structure of NdHo9Tm2, from the Alexandria database.

```
NdHo9Tm2
1.0
4.994 0.000 0.000
0.000 4.994 0.000
0.000 0.000 14.983
Nd Ho Tm
1 9 2
Direct
0.000 0.000 0.000
0.000 0.500 0.169
0.000 0.500 0.500
0.000 0.500 0.831
0.500 0.000 0.169
0.500 0.000 0.500
0.500 0.000 0.831
0.500 0.500 0.000
0.500 0.500 0.335
0.500 0.500 0.665
0.000 0.000 0.335
0.000 0.000 0.665
```

Values from the calculation:
Theoretical density: 8.74 Mg/m³
Calculated total energy: -4.5518 eV/atom
Symmetry: P4/mmm, No. 123
Formation enthalpy at 0 K: 0.3 eV/f.u.
Magnetization: 0.00 μB per atom
Polymorph energy (0 for the lowest one): 0.00 eV/f.u.
DOS at the Fermi energy: 1.4762 states/eV per atom

***

[4]
The following is a PBE calculation of a relaxed structure of K4Zr, from the Alexandria database.

```
K4Zr
1.0
8.715 0.000 0.000
0.000 8.715 0.000
0.000 0.000 8.715
K Zr
8 2
Direct
0.250 0.250 0.250
0.250 0.250 0.750
0.250 0.750 0.250
0.250 0.750 0.750
0.750 0.250 0.250
0.750 0.250 0.750
0.750 0.750 0.250
0.750 0.750 0.750
0.000 0.000 0.000
0.500 0.500 0.500
```

Values from the calculation:
Theoretical density: 1.24 Mg/m³
Calculated total energy: -1.7152 eV/atom
Symmetry: Im-3m, No. 229
Formation enthalpy at 0 K: 4.4 eV/f.u.
Magnetization: 0.91 μB per atom
Polymorph energy (0 for the lowest one): 0.00 eV/f.u.
DOS at the Fermi energy: 1.6496 states/eV per atom

***

[5]
The following is a PBE calculation of a relaxed structure of Eu6Tm, from the Alexandria database.

```
Eu6Tm
1.0
8.314 0.000 0.000
0.000 8.314 0.000
0.000 0.000 8.314
Eu Tm
12 2
Direct
0.000 0.250 0.500
0.000 0.500 0.250
0.000 0.500 0.750
0.000 0.750 0.500
0.250 0.000 0.500
0.250 0.500 0.000
0.500 0.000 0.250
0.500 0.000 0.750
0.500 0.250 0.000
0.500 0.750 0.000
0.750 0.000 0.500
0.750 0.500 0.000
0.000 0.000 0.000
0.500 0.500 0.500
```

Values from the calculation:
Theoretical density: 6.24 Mg/m³
Calculated total energy: -8.2830 eV/atom
Symmetry: Im-3m, No. 229
Formation enthalpy at 0 K: 8.1 eV/f.u.
Magnetization: 6.35 μB per atom
DOS at the Fermi energy: 1.7383 states/eV per atom

***

[6]
The following is a PBE calculation of a relaxed structure of BeFe2HPt, from the Alexandria database.

```
BeFe2HPt
1.0
3.515 0.000 0.000
0.000 3.515 0.000
0.000 0.000 4.046
Be Fe H Pt
1 2 1 1
Direct
0.000 0.000 0.000
0.000 0.500 0.500
0.500 0.000 0.500
0.000 0.000 0.500
0.500 0.500 0.000
```

Values from the calculation:
Theoretical density: 10.52 Mg/m³
Calculated total energy: -6.1566 eV/atom
Symmetry: P4/mmm, No. 123
Magnetization: 1.00 μB per atom
DOS at the Fermi energy: 0.5495 states/eV per atom